# 1
# In6SnBi2 | Alexandria | PBE-GGA | optimized geometry
data_In6SnBi2
_cell_length_a 13.569
_cell_length_b 4.971
_cell_length_c 7.939
_cell_angle_alpha 90.00
_cell_angle_beta 104.96
_cell_angle_gamma 90.00
_symmetry_space_group_name_H-M 'C 1 2/m 1'
_symmetry_Int_Tables_number 12
_symmetry_space_group_name_Hall '-C 2y'
loop_
_atom_site_label
_atom_site_type_symbol
_atom_site_fract_x
_atom_site_fract_y
_atom_site_fract_z
In1 In 0.115 0.000 0.176
In2 In 0.168 0.500 0.498
In3 In 0.224 0.000 0.833
Sn1 Sn 0.000 0.000 0.500
Bi1 Bi 0.054 0.500 0.822
# DFT formation energy = 0.0297 eV/atom
# DFT total energy = -55.856 eV/cell
# Distance to the lowest polymorph of the same formula = 0.000 eV/atom

---

# 2
# InSnBi3 | Alexandria | PBE-GGA | optimized geometry
data_InSnBi3
_cell_length_a 5.853
_cell_length_b 5.853
_cell_length_c 5.853
_cell_angle_alpha 90.00
_cell_angle_beta 90.00
_cell_angle_gamma 90.00
_symmetry_space_group_name_H-M 'P m -3 m'
_symmetry_Int_Tables_number 221
_symmetry_space_group_name_Hall '-P 4 2 3'
loop_
_atom_site_label
_atom_site_type_symbol
_atom_site_fract_x
_atom_site_fract_y
_atom_site_fract_z
In1 In 0.000 0.000 0.000
Sn1 Sn 0.500 0.500 0.500
Bi1 Bi 0.000 0.500 0.500
# DFT formation energy = 0.5799 eV/atom
# DFT total energy = -15.485 eV/cell
# Distance to the lowest polymorph of the same formula = 0.494 eV/atom

---

# 3
# In2Sn5Bi2 | Alexandria | PBE-GGA | optimized geometry
data_In2Sn5Bi2
_cell_length_a 13.658
_cell_length_b 5.259
_cell_length_c 7.564
_cell_angle_alpha 90.00
_cell_angle_beta 107.63
_cell_angle_gamma 90.00
_symmetry_space_group_name_H-M 'C 1 2/m 1'
_symmetry_Int_Tables_number 12
_symmetry_space_group_name_Hall '-C 2y'
loop_
_atom_site_label
_atom_site_type_symbol
_atom_site_fract_x
_atom_site_fract_y
_atom_site_fract_z
In1 In 0.216 0.000 0.332
Sn1 Sn 0.000 0.000 0.000
Sn2 Sn 0.062 0.500 0.347
Sn3 Sn 0.108 0.000 0.661
Bi1 Bi 0.158 0.500 0.981
# DFT formation energy = 0.0615 eV/atom
# DFT total energy = -65.399 eV/cell

---

# 4
# InSnBi2 | Alexandria | PBE-GGA | optimized geometry
data_InSnBi2
_cell_length_a 6.957
_cell_length_b 6.957
_cell_length_c 14.013
_cell_angle_alpha 90.00
_cell_angle_beta 90.00
_cell_angle_gamma 90.00
_symmetry_space_group_name_H-M 'I -4 2 d'
_symmetry_Int_Tables_number 122
_symmetry_space_group_name_Hall 'I -4 2bw'
loop_
_atom_site_label
_atom_site_type_symbol
_atom_site_fract_x
_atom_site_fract_y
_atom_site_fract_z
In1 In 0.000 0.000 0.000
Sn1 Sn 0.000 0.000 0.500
Bi1 Bi 0.248 0.250 0.125
# DFT formation energy = 0.1172 eV/atom
# DFT total energy = -56.137 eV/cell